Below is an optimized crystal structure of Ba2TlCdPb6, with properties calculated at the GGA-PBE level.

Calculated values
Space group: R-3m, No. 166

POSCAR file:
```
Ba2TlCdPb6
1.0
-2.841 6.057 -1.719
-5.604 0.165 -4.034
-13.870 1.237 13.404
Ba Tl Cd Pb
4 2 2 12
Direct
0.901 0.901 0.297
0.099 0.099 0.703
0.683 0.683 0.950
0.317 0.317 0.050
0.580 0.580 0.261
0.420 0.420 0.739
0.000 0.000 0.000
0.500 0.500 0.500
0.891 0.361 0.388
0.361 0.891 0.388
0.361 0.361 0.388
0.109 0.639 0.612
0.639 0.109 0.612
0.639 0.639 0.612
0.705 0.211 0.873
0.211 0.705 0.873
0.211 0.211 0.873
0.295 0.789 0.127
0.789 0.295 0.127
0.789 0.789 0.127
```



Below is an optimized crystal structure of Ba2Tl3CdPb4, with properties calculated at the GGA-PBE level.

Calculated values
Space group: P-4m2, No. 115

POSCAR file:
```
Ba2Tl3CdPb4
1.0
4.987 0.000 0.000
0.000 4.987 0.000
0.000 0.000 14.195
Ba Tl Cd Pb
2 3 1 4
Direct
0.500 0.000 0.261
0.000 0.500 0.739
0.000 0.000 0.500
0.500 0.000 0.855
0.000 0.500 0.145
0.500 0.500 0.500
0.500 0.500 0.000
0.000 0.000 0.000
0.500 0.000 0.636
0.000 0.500 0.364
```



Below is an optimized crystal structure of BaTlCd2Pb, with properties calculated at the GGA-PBE level.

Calculated values
Space group: Imm2, No. 44

POSCAR file:
```
BaTlCd2Pb
1.0
4.990 0.000 0.000
0.000 5.044 0.000
-2.495 -2.522 6.353
Ba Tl Cd Pb
1 1 2 1
Direct
0.442 0.442 0.884
0.834 0.834 0.667
0.689 0.189 0.378
0.060 0.060 0.120
0.187 0.687 0.375
```



Below is an optimized crystal structure of Ba2Tl3Cd4Pb, with properties calculated at the GGA-PBE level.

Calculated values
Space group: P-4m2, No. 115

POSCAR file:
```
Ba2Tl3Cd4Pb
1.0
-4.697 1.919 0.181
-0.587 -1.879 4.680
4.452 10.445 4.753
Ba Tl Cd Pb
2 3 4 1
Direct
0.500 0.000 0.246
0.000 0.500 0.754
0.000 0.000 0.500
0.500 0.000 0.870
0.000 0.500 0.130
0.500 0.500 0.000
0.000 0.000 0.000
0.500 0.000 0.636
0.000 0.500 0.364
0.500 0.500 0.500
```



Below is an optimized crystal structure of BaTl2CdPb, with properties calculated at the GGA-PBE level.

Calculated values
Space group: Imm2, No. 44

POSCAR file:
```
BaTl2CdPb
1.0
5.265 0.000 0.000
0.000 5.108 0.000
-2.632 -2.554 6.232
Ba Tl Cd Pb
1 2 1 1
Direct
0.445 0.445 0.889
0.693 0.193 0.386
0.053 0.053 0.105
0.822 0.822 0.645
0.199 0.699 0.399
```



Below is an optimized crystal structure of BaTlCdPb, with properties calculated at the GGA-PBE level.

Calculated values
Space group: F-43m, No. 216

POSCAR file:
```
BaTlCdPb
1.0
5.699 0.000 0.000
2.849 4.935 0.000
2.849 1.645 4.653
Pb Tl Ba Cd
1 1 1 1
Direct
0.000 0.000 0.000
0.250 0.250 0.250
0.500 0.500 0.500
0.750 0.750 0.750
```



| no. | formation enthalpy at 0 K (eV per atom) | total magnetic moment (μB per atom) |
| --- | --- | --- |
| 1 | -0.13 | 0.000 |
| 2 | -0.23 | 0.000 |
| 3 | -0.27 | 0.000 |
| 4 | -0.27 | 0.000 |
| 5 | -0.27 | 0.000 |
| 6 | -0.27 | 0.000 |